Entry 1:
Ba2La2Pb after structural relaxation. Source: Alexandria, functional PBE-GGA.

Values from the calculation:
Its symmetry is P4/mbm. For the total moment, the calculation gives 2.19 μB/f.u. For the polymorph energy (0 for the lowest one), the calculation gives 0.0 kJ per mole of atoms. The formation energy from the elements comes out at -0.04 eV/atom.

a = 8.560 Å, b = 8.560 Å, c = 6.042 Å
α = 90.00°, β = 90.00°, γ = 90.00°
Element x y z (fractional)
Pb 0.000 0.000 0.000
Pb 0.500 0.500 0.000
Ba 0.173 0.673 0.500
Ba 0.673 0.827 0.500
Ba 0.827 0.327 0.500
Ba 0.327 0.173 0.500
La 0.363 0.863 0.000
La 0.863 0.637 0.000
La 0.637 0.137 0.000
La 0.137 0.363 0.000



Entry 2:
BaLa2RuPb after structural relaxation. Source: Alexandria, functional PBE-GGA.

Values from the calculation:
Its symmetry is P4/mmm. For the total moment, the calculation gives 0.00 μB/f.u. For the polymorph energy (0 for the lowest one), the calculation gives 2.0 kJ per mole of atoms. The formation energy from the elements comes out at -0.23 eV/atom.

a = 5.512 Å, b = 5.512 Å, c = 5.627 Å
α = 90.00°, β = 90.00°, γ = 90.00°
Element x y z (fractional)
Pb 0.000 0.000 0.500
Ru 0.000 0.000 0.000
Ba 0.500 0.500 0.500
La 0.000 0.500 0.000
La 0.500 0.000 0.000



Entry 3:
BaLa2RuPb after structural relaxation. Source: Alexandria, functional PBE-GGA.

Values from the calculation:
Its symmetry is P4/mmm. For the total moment, the calculation gives 0.00 μB/f.u. For the polymorph energy (0 for the lowest one), the calculation gives 0.0 kJ per mole of atoms. The formation energy from the elements comes out at -0.25 eV/atom.

a = 5.482 Å, b = 5.482 Å, c = 5.788 Å
α = 90.00°, β = 90.00°, γ = 90.00°
Element x y z (fractional)
Pb 0.500 0.500 0.500
Ru 0.000 0.000 0.000
Ba 0.000 0.000 0.500
La 0.000 0.500 0.000
La 0.500 0.000 0.000



Entry 4:
Ba2LaPbS5 after structural relaxation. Source: Alexandria, functional PBE-GGA.

Values from the calculation:
Its symmetry is Cmc2_1. For the total moment, the calculation gives 0.00 μB/f.u. The formation energy without anion corrections is -1.599 eV per atom.

a = 4.388 Å, b = 9.348 Å, c = 13.142 Å
α = 90.00°, β = 90.00°, γ = 103.57°
Element x y z (fractional)
Ba 0.863 0.726 0.804
Ba 0.112 0.224 0.688
Ba 0.137 0.274 0.304
Ba 0.888 0.776 0.188
La 0.787 0.575 0.512
La 0.213 0.425 0.012
Pb 0.529 0.057 0.958
Pb 0.471 0.943 0.458
S 0.368 0.735 0.998
S 0.681 0.362 0.871
S 0.491 0.983 0.765
S 0.285 0.569 0.655
S 0.947 0.894 0.572
S 0.632 0.265 0.498
S 0.319 0.638 0.371
S 0.509 0.017 0.265
S 0.715 0.431 0.155
S 0.053 0.106 0.072